Record 1
Below is a relaxed VGaSeBr2 crystal, with properties calculated at the PBE level.

Results
Formation energy without anion corrections   1.18 eV/f.u.
Space-group type   No. 123

Unit cell a=5.111 b=5.111 c=5.151 alpha=90.00 beta=90.00 gamma=90.00
Site moments in Bohr magnetons follow the coordinates.
Fractional positions:
Br 0.500 0.000 0.000  0.00
Se 0.000 0.000 0.500  -0.11
V 0.500 0.500 0.500  3.07
Br 0.000 0.500 0.000  0.00
Ga 0.000 0.000 0.000  0.01

Record 2
Below is a relaxed CaPmSm2Hg4 crystal, with properties calculated at the PBE level.

Results
Space-group type   No. 166
ΔE_f   -506.5 meV per atom

Unit cell a=5.366 b=5.366 c=9.296 alpha=73.22 beta=73.22 gamma=60.00
Fractional positions:
Sm 0.748 0.748 0.757
Hg 0.624 0.624 0.127
Ca 0.000 0.000 0.000
Hg 0.376 0.376 0.873
Hg 0.875 0.875 0.376
Sm 0.252 0.252 0.243
Hg 0.125 0.125 0.624
Pm 0.500 0.500 0.500

Record 3
Below is a relaxed KCuRh crystal, with properties calculated at the PBE level.

Results
Space-group type   No. 44
ΔE_f   379.7 meV per atom

Unit cell a=6.225 b=6.225 c=6.225 alpha=154.71 beta=141.13 gamma=46.94
Fractional positions:
Rh 0.608 0.608 0.000
Cu 0.061 0.061 0.000
K 0.332 0.332 0.000

Record 4
Below is a relaxed BaTa2Be crystal, with properties calculated at the PBE level.

Results
Space-group type   No. 65
ΔE_f   1407.4 meV per atom

Unit cell a=5.891 b=5.891 c=2.870 alpha=90.00 beta=90.00 gamma=120.23
Fractional positions:
Ta 0.000 0.000 0.000
Be 0.000 0.500 0.500
Ba 0.500 0.000 0.500
Ta 0.500 0.500 0.000

Record 5
Below is a relaxed Ac2EuY crystal, with properties calculated at the PBE level.

Results
Space-group type   No. 123
ΔE_f   32.4 meV per atom

Unit cell a=3.924 b=3.924 c=10.606 alpha=90.00 beta=90.00 gamma=90.00
Site moments in Bohr magnetons follow the coordinates.
Fractional positions:
Ac 0.000 0.000 0.764  0.01
Eu 0.500 0.500 0.500  6.95
Ac 0.000 0.000 0.236  0.01
Y 0.500 0.500 0.000  -0.12

Record 6
Below is a relaxed CrPdSe2 crystal, with properties calculated at the PBE level.

Results
Formation energy without anion corrections   -1.00 eV/f.u.
Space-group type   No. 166

Unit cell a=8.001 b=8.001 c=8.001 alpha=25.27 beta=25.27 gamma=25.27
Site moments in Bohr magnetons follow the coordinates.
Fractional positions:
Se 0.896 0.896 0.896  -0.15
Se 0.104 0.104 0.104  -0.15
Cr 0.500 0.500 0.500  2.65
Pd 0.000 0.000 0.000  -0.38

| no. | final energy (eV per atom) |
| --- | --- |
| 1 | -3.560 |
| 2 | -2.681 |
| 3 | -3.802 |
| 4 | -5.931 |
| 5 | -6.206 |
| 6 | -5.697 |